Record 1
Crystalline K3Hf2O3F4 at its relaxed geometry. Source: the Alexandria database, functional PBE.

abc: 4.3097 4.0812 11.5433
angles: 100.18 100.76 90.00
Closest atoms and distances in Å follow each position.
Fractional coordinates of all 12 atoms:
F: 0.5964 0.0941 0.1882  2 Hf 2.16
F: 0.4083 0.9059 0.8118  2 Hf 2.16
F: 0.8131 0.8109 0.6219  1 Hf 2.20
F: 0.1912 0.1891 0.3781  1 Hf 2.20
Hf: 0.0927 0.0904 0.1808  3 O 2.02-2.05, 3 F 2.16-2.20
Hf: 0.9120 0.9096 0.8192  3 O 2.02-2.05, 3 F 2.16-2.20
O: 0.1011 0.5988 0.1976  2 Hf 2.05
O: 0.9036 0.4012 0.8024  2 Hf 2.05
O: 0.0024 0.0000 0.0000  2 Hf 2.02
K: 0.6914 0.6890 0.3780  7 F 2.72-2.97, 2 O 2.95
K: 0.3133 0.3110 0.6220  7 F 2.72-2.97, 2 O 2.95
K: 0.5024 0.5000 0.0000  4 F 2.93, 8 O 2.97-3.08

- Crystal system: orthorhombic


Record 2
Crystalline KHfOF2 at its relaxed geometry. Source: the Alexandria database, functional PBE.

abc: 4.4074 4.4074 4.0800
angles: 90.00 90.00 90.00
Closest atoms and distances in Å follow each position.
Fractional coordinates of all 5 atoms:
Hf: 0.0000 0.0000 0.0000  2 O 2.04, 4 F 2.20
O: 0.0000 0.0000 0.5000  2 Hf 2.04
K: 0.5000 0.5000 0.5000  8 F 3.00, 4 O 3.12
F: 0.0000 0.5000 0.0000  2 Hf 2.20
F: 0.5000 0.0000 0.0000  2 Hf 2.20

- Crystal system: tetragonal
- Polymorph energy (0 for the lowest one): 0 meV/atom


Number 1: DOS at the Fermi energy 2.7 states/eV/cell, E_tot -6.75 eV/atom. Number 2: DOS at the Fermi energy 1.7 states/eV/cell, E_tot -6.73 eV/atom.